Entry 1:
5
Lattice="-4.0943 -2.2288 1.0682 2.4343 -3.2788 2.4891 -0.5817 3.6382 5.3613" Properties=species:S:1:pos:R:3 comment="RbHf2TiN PBEsol relaxed" sg="No. 123" final_energy_ev_per_atom=-5.588 e_form_raw_ev_per_fu=10.940 pbc="T T T"
Ti 0.0000 0.0000 0.0000
N -1.1209 -0.9347 4.4593
Hf 1.2171 -1.6394 1.2446
Hf -2.0471 -1.1144 0.5341
Rb -0.2909 1.8191 2.6807



Entry 2:
5
Lattice="-0.4209 1.1984 6.2726 -5.7477 -0.5692 -3.5418 -3.5166 -5.2908 0.7749" Properties=species:S:1:pos:R:3 comment="RbPb2I2 PBEsol relaxed" sg="No. 139" final_energy_ev_per_atom=-2.888 e_form_raw_ev_per_fu=-1.882 pbc="T T T"
I -5.8270 -3.3539 3.5147
I -3.8582 -1.3077 -0.0090
Rb 0.0000 0.0000 0.0000
Pb -3.2369 -1.2383 3.2843
Pb -6.4483 -3.4233 0.2214



Entry 3:
7
Lattice="5.0841 0.0000 0.0000 -2.5421 4.4030 0.0000 0.0000 0.0000 5.1188" Properties=species:S:1:pos:R:3 comment="Y4C3 PBEsol relaxed" sg="No. 191" final_energy_ev_per_atom=-6.812 e_form_ev_per_atom=1.220 relative_energy_mev_per_atom=1394 pbc="T T T"
Y 0.0000 2.9353 2.5594
Y 0.0000 0.0000 3.9536
Y 0.0000 0.0000 1.1652
Y 2.5421 1.4677 2.5594
C 1.2710 2.2015 0.0000
C 2.5421 0.0000 0.0000
C -1.2710 2.2015 0.0000



Entry 4:
6
Lattice="-4.0679 -0.9970 1.2591 3.6739 -5.1064 0.2305 1.0275 4.5954 6.9583" Properties=species:S:1:pos:R:3 comment="BaAu PBEsol relaxed" sg="No. 8" final_energy_ev_per_atom=-3.628 e_form_ev_per_atom=-0.592 pbc="T T T"
Au -0.8139 1.0076 5.7641
Au 0.2283 -0.2932 8.1011
Au -0.8969 -1.3403 3.6365
Ba 0.6479 -1.9168 0.5755
Ba 1.9054 -0.9491 5.4045
Ba 0.4540 1.6019 2.7352



Entry 5:
88
Lattice="4.8999 0.0000 0.0000 0.0000 10.2780 0.0000 0.0000 0.0000 16.8464" Properties=species:S:1:pos:R:3 comment="LiH4SNO4 PBEsol relaxed" sg="No. 29" final_energy_ev_per_atom=-5.709 relative_energy_mev_per_atom=0 pbc="T T T"
H 1.7224 0.3518 6.0646
H 0.0095 7.8194 12.2844
H 0.0095 7.5976 3.8613
H 4.7697 8.9338 10.9697
H 2.5740 3.9183 5.9443
H 3.4033 5.0583 14.5121
H 1.4966 10.1972 14.5121
H 3.1775 9.9261 14.4878
H 1.4966 5.2197 6.0889
H 3.1775 5.4908 6.0646
H 3.4033 0.0807 6.0889
H 4.7697 6.4832 2.5465
H 3.9450 2.6428 2.4381
H 2.3592 5.0233 4.6298
H 3.9450 2.4962 10.8613
H 4.8904 2.6804 12.2844
H 0.1302 1.3442 2.5465
H 4.1737 7.3621 10.8151
H 4.1737 8.0548 2.3919
H 0.1302 3.7948 10.9697
H 2.3259 9.0573 5.9443
H 2.3259 6.3596 14.3675
H 1.7224 4.7871 14.4878
H 0.9549 7.7818 2.4381
H 0.7262 2.2232 10.8151
H 2.5407 5.2546 13.0530
H 2.5740 1.2206 14.3675
H 2.5407 10.1623 4.6298
H 4.8904 2.4586 3.8613
H 0.7262 2.9158 2.3919
H 2.3592 0.1156 13.0530
H 0.9549 7.6352 10.8613
O 2.0510 5.6278 0.5821
O 0.1024 4.2606 15.2889
O 2.5538 6.8390 10.0417
O 0.1024 0.8784 6.8657
O 0.3985 3.0699 7.8955
O 2.3461 1.7000 10.0417
O 0.2364 2.8755 5.4807
O 3.1856 2.4776 6.8688
O 4.5014 7.2080 16.3187
O 2.3461 3.4390 1.6185
O 2.0510 9.7891 9.0053
O 4.6635 7.4025 13.9038
O 4.1591 0.0970 10.0434
O 4.5014 8.2089 7.8955
O 0.3985 2.0690 16.3187
O 2.7007 0.2996 2.9979
O 2.1992 5.4386 2.9979
O 3.1856 2.6614 15.2920
O 2.1992 9.9783 11.4211
O 0.7408 10.1810 1.6202
O 2.8489 0.4888 0.5821
O 4.6635 8.0145 5.4807
O 2.8489 4.6501 9.0053
O 0.7408 5.2360 10.0434
O 2.5538 8.5780 1.6185
O 4.1591 5.0420 1.6202
O 1.7143 7.8004 15.2920
O 4.7975 6.0174 6.8657
O 1.7143 7.6166 6.8688
O 0.2364 2.2635 13.9038
O 2.7007 4.8394 11.4211
O 4.7975 9.3995 15.2889
Li 0.2198 5.4139 0.0016
Li 0.2198 10.0031 8.4248
Li 2.2285 2.2843 0.0612
Li 4.6801 0.2749 0.0016
Li 4.6801 4.8641 8.4248
Li 2.6714 7.9936 8.4844
Li 2.2285 2.8547 8.4844
Li 2.6714 7.4233 0.0612
S 0.2366 7.9443 15.1836
S 4.6633 2.8054 15.1836
S 2.2188 10.0342 1.7224
S 2.2188 5.3828 10.1455
S 4.6633 2.3336 6.7604
S 0.2366 7.4726 6.7604
S 2.6811 4.8952 1.7224
S 2.6811 0.2438 10.1455
N 2.4991 10.0524 5.6761
N 2.4991 5.3645 14.0993
N 2.4008 0.2255 14.0993
N 0.0348 7.4796 2.8149
N 4.8651 2.7983 11.2381
N 0.0348 7.9373 11.2381
N 4.8651 2.3407 2.8149
N 2.4008 4.9135 5.6761



Entry 6:
3
Lattice="3.5750 0.0000 0.0000 0.0000 4.1369 0.0000 0.0000 -2.0684 3.5826" Properties=species:S:1:pos:R:3 comment="TmCuGe PBEsol relaxed" sg="No. 187" final_energy_ev_per_atom=-5.400 e_form_ev_per_atom=-0.676 pbc="T T T"
Ge 1.7875 2.0684 1.1942
Tm 0.0000 0.0000 2.3884
Cu 1.7875 0.0000 0.0000



Please write out number 5 again, unchanged.
88
Lattice="4.8999 0.0000 0.0000 0.0000 10.2780 0.0000 0.0000 0.0000 16.8464" Properties=species:S:1:pos:R:3 comment="LiH4SNO4 PBEsol relaxed" sg="No. 29" final_energy_ev_per_atom=-5.709 relative_energy_mev_per_atom=0 pbc="T T T"
H 1.7224 0.3518 6.0646
H 0.0095 7.8194 12.2844
H 0.0095 7.5976 3.8613
H 4.7697 8.9338 10.9697
H 2.5740 3.9183 5.9443
H 3.4033 5.0583 14.5121
H 1.4966 10.1972 14.5121
H 3.1775 9.9261 14.4878
H 1.4966 5.2197 6.0889
H 3.1775 5.4908 6.0646
H 3.4033 0.0807 6.0889
H 4.7697 6.4832 2.5465
H 3.9450 2.6428 2.4381
H 2.3592 5.0233 4.6298
H 3.9450 2.4962 10.8613
H 4.8904 2.6804 12.2844
H 0.1302 1.3442 2.5465
H 4.1737 7.3621 10.8151
H 4.1737 8.0548 2.3919
H 0.1302 3.7948 10.9697
H 2.3259 9.0573 5.9443
H 2.3259 6.3596 14.3675
H 1.7224 4.7871 14.4878
H 0.9549 7.7818 2.4381
H 0.7262 2.2232 10.8151
H 2.5407 5.2546 13.0530
H 2.5740 1.2206 14.3675
H 2.5407 10.1623 4.6298
H 4.8904 2.4586 3.8613
H 0.7262 2.9158 2.3919
H 2.3592 0.1156 13.0530
H 0.9549 7.6352 10.8613
O 2.0510 5.6278 0.5821
O 0.1024 4.2606 15.2889
O 2.5538 6.8390 10.0417
O 0.1024 0.8784 6.8657
O 0.3985 3.0699 7.8955
O 2.3461 1.7000 10.0417
O 0.2364 2.8755 5.4807
O 3.1856 2.4776 6.8688
O 4.5014 7.2080 16.3187
O 2.3461 3.4390 1.6185
O 2.0510 9.7891 9.0053
O 4.6635 7.4025 13.9038
O 4.1591 0.0970 10.0434
O 4.5014 8.2089 7.8955
O 0.3985 2.0690 16.3187
O 2.7007 0.2996 2.9979
O 2.1992 5.4386 2.9979
O 3.1856 2.6614 15.2920
O 2.1992 9.9783 11.4211
O 0.7408 10.1810 1.6202
O 2.8489 0.4888 0.5821
O 4.6635 8.0145 5.4807
O 2.8489 4.6501 9.0053
O 0.7408 5.2360 10.0434
O 2.5538 8.5780 1.6185
O 4.1591 5.0420 1.6202
O 1.7143 7.8004 15.2920
O 4.7975 6.0174 6.8657
O 1.7143 7.6166 6.8688
O 0.2364 2.2635 13.9038
O 2.7007 4.8394 11.4211
O 4.7975 9.3995 15.2889
Li 0.2198 5.4139 0.0016
Li 0.2198 10.0031 8.4248
Li 2.2285 2.2843 0.0612
Li 4.6801 0.2749 0.0016
Li 4.6801 4.8641 8.4248
Li 2.6714 7.9936 8.4844
Li 2.2285 2.8547 8.4844
Li 2.6714 7.4233 0.0612
S 0.2366 7.9443 15.1836
S 4.6633 2.8054 15.1836
S 2.2188 10.0342 1.7224
S 2.2188 5.3828 10.1455
S 4.6633 2.3336 6.7604
S 0.2366 7.4726 6.7604
S 2.6811 4.8952 1.7224
S 2.6811 0.2438 10.1455
N 2.4991 10.0524 5.6761
N 2.4991 5.3645 14.0993
N 2.4008 0.2255 14.0993
N 0.0348 7.4796 2.8149
N 4.8651 2.7983 11.2381
N 0.0348 7.9373 11.2381
N 4.8651 2.3407 2.8149
N 2.4008 4.9135 5.6761